[1]
# PBE-GGA Sc5Au, optimized geometry
data_Sc5Au
_cell_length_a 5.5807
_cell_length_b 5.5807
_cell_length_c 4.9594
_cell_angle_alpha 90.00
_cell_angle_beta 90.00
_cell_angle_gamma 120.00
_space_group_name_H-M_alt 'P 1'
_space_group_IT_number 1
loop_
_space_group_symop_operation_xyz
'x,y,z'
loop_
_atom_site_label
_atom_site_fract_x
_atom_site_fract_y
_atom_site_fract_z
Sc1 0.3118 0.3118 0.0000
Sc2 0.3333 0.6667 0.5000
Sc3 0.6667 0.3333 0.5000
Sc4 0.6882 0.0000 0.0000
Sc5 0.0000 0.6882 0.0000
Au1 0.0000 0.0000 0.5000
# Relative energy among the computed polymorphs, meV/atom: 80.8
# Total moment, μB/cell: 0.9
# SG: P-62m
# ΔE_f, eV per atom: -0.16
# Electronic total energy, eV/atom: -5.98

[2]
# PBE-GGA Sc2Au, optimized geometry
data_Sc2Au
_cell_length_a 7.7581
_cell_length_b 7.7581
_cell_length_c 4.8033
_cell_angle_alpha 90.00
_cell_angle_beta 90.00
_cell_angle_gamma 153.82
_space_group_name_H-M_alt 'P 1'
_space_group_IT_number 1
loop_
_space_group_symop_operation_xyz
'x,y,z'
loop_
_atom_site_label
_atom_site_fract_x
_atom_site_fract_y
_atom_site_fract_z
Sc1 0.5789 0.4211 0.2500
Sc2 0.4211 0.5789 0.7500
Sc3 0.2723 0.7277 0.2500
Sc4 0.7277 0.2723 0.7500
Au1 0.0805 0.9195 0.7500
Au2 0.9195 0.0805 0.2500
# Total moment, μB/cell: 0.0
# SG: Cmcm
# ΔE_f, eV per atom: -0.53
# Electronic total energy, eV/atom: -5.85

[3]
# PBE-GGA Sc2Au, optimized geometry
data_Sc2Au
_cell_length_a 8.9837
_cell_length_b 8.9837
_cell_length_c 8.9837
_cell_angle_alpha 60.00
_cell_angle_beta 60.00
_cell_angle_gamma 60.00
_space_group_name_H-M_alt 'P 1'
_space_group_IT_number 1
loop_
_space_group_symop_operation_xyz
'x,y,z'
loop_
_atom_site_label
_atom_site_fract_x
_atom_site_fract_y
_atom_site_fract_z
Sc1 0.3096 0.9404 0.3096
Sc2 0.6904 0.6904 0.0596
Sc3 0.9404 0.3096 0.9404
Sc4 0.6904 0.0596 0.6904
Sc5 0.0596 0.0596 0.6904
Sc6 0.5000 0.5000 0.5000
Sc7 0.9404 0.3096 0.3096
Sc8 0.5000 0.0000 0.5000
Sc9 0.9404 0.9404 0.3096
Sc10 0.0596 0.6904 0.6904
Sc11 0.3096 0.9404 0.9404
Sc12 0.6904 0.0596 0.0596
Sc13 0.0000 0.5000 0.5000
Sc14 0.0596 0.6904 0.0596
Sc15 0.5000 0.5000 0.0000
Sc16 0.3096 0.3096 0.9404
Au1 0.7184 0.7184 0.7184
Au2 0.2816 0.6553 0.2816
Au3 0.3447 0.7184 0.7184
Au4 0.2816 0.2816 0.6553
Au5 0.6553 0.2816 0.2816
Au6 0.2816 0.2816 0.2816
Au7 0.7184 0.3447 0.7184
Au8 0.7184 0.7184 0.3447
# Total moment, μB/cell: 0.0
# SG: Fd-3m
# ΔE_f, eV per atom: -0.62
# Electronic total energy, eV/atom: -5.93

[4]
# PBE-GGA Sc5Au, optimized geometry
data_Sc5Au
_cell_length_a 8.0591
_cell_length_b 8.0591
_cell_length_c 4.9165
_cell_angle_alpha 90.00
_cell_angle_beta 90.00
_cell_angle_gamma 155.13
_space_group_name_H-M_alt 'P 1'
_space_group_IT_number 1
loop_
_space_group_symop_operation_xyz
'x,y,z'
loop_
_atom_site_label
_atom_site_fract_x
_atom_site_fract_y
_atom_site_fract_z
Au1 0.0071 0.9929 0.0000
Sc1 0.6678 0.3322 0.0000
Sc2 0.8853 0.1147 0.5000
Sc3 0.2183 0.7817 0.5000
Sc4 0.3470 0.6530 0.0000
Sc5 0.5412 0.4588 0.5000
# Relative energy among the computed polymorphs, meV/atom: 34.9
# Total moment, μB/cell: 0.0
# SG: Amm2
# ΔE_f, eV per atom: -0.21
# Electronic total energy, eV/atom: -6.03

[5]
# PBE-GGA Sc2Au, optimized geometry
data_Sc2Au
_cell_length_a 6.6644
_cell_length_b 6.6644
_cell_length_c 6.6644
_cell_angle_alpha 90.00
_cell_angle_beta 90.00
_cell_angle_gamma 90.00
_space_group_name_H-M_alt 'P 1'
_space_group_IT_number 1
loop_
_space_group_symop_operation_xyz
'x,y,z'
loop_
_atom_site_label
_atom_site_fract_x
_atom_site_fract_y
_atom_site_fract_z
Sc1 0.8405 0.3405 0.1595
Sc2 0.1595 0.8405 0.3405
Sc3 0.3405 0.1595 0.8405
Sc4 0.6595 0.8405 0.1595
Sc5 0.3405 0.3405 0.3405
Sc6 0.8405 0.1595 0.6595
Sc7 0.6595 0.6595 0.6595
Sc8 0.1595 0.6595 0.8405
Au1 0.5000 0.5000 0.0000
Au2 0.0000 0.0000 0.0000
Au3 0.5000 0.0000 0.5000
Au4 0.0000 0.5000 0.5000
# Total moment, μB/cell: 0.0
# SG: Pa-3
# ΔE_f, eV per atom: -0.33
# Electronic total energy, eV/atom: -5.64

[6]
# PBE-GGA Sc3Au, optimized geometry
data_Sc3Au
_cell_length_a 5.6506
_cell_length_b 5.6506
_cell_length_c 5.6506
_cell_angle_alpha 136.14
_cell_angle_beta 136.14
_cell_angle_gamma 63.77
_space_group_name_H-M_alt 'P 1'
_space_group_IT_number 1
loop_
_space_group_symop_operation_xyz
'x,y,z'
loop_
_atom_site_label
_atom_site_fract_x
_atom_site_fract_y
_atom_site_fract_z
Sc1 0.7500 0.2500 0.5000
Sc2 0.5000 0.5000 0.0000
Sc3 0.2500 0.7500 0.5000
Au1 0.0000 0.0000 0.0000
# Total moment, μB/cell: 1.2
# SG: I4/mmm
# ΔE_f, eV per atom: -0.29
# Electronic total energy, eV/atom: -5.86

[7]
# PBE-GGA Sc3Au4, optimized geometry
data_Sc3Au4
_cell_length_a 5.7925
_cell_length_b 5.7925
_cell_length_c 5.0461
_cell_angle_alpha 90.00
_cell_angle_beta 90.00
_cell_angle_gamma 120.00
_space_group_name_H-M_alt 'P 1'
_space_group_IT_number 1
loop_
_space_group_symop_operation_xyz
'x,y,z'
loop_
_atom_site_label
_atom_site_fract_x
_atom_site_fract_y
_atom_site_fract_z
Sc1 0.5000 0.5000 0.0000
Sc2 0.5000 0.0000 0.0000
Sc3 0.0000 0.5000 0.0000
Au1 0.0000 0.0000 0.2527
Au2 0.0000 0.0000 0.7473
Au3 0.6667 0.3333 0.5000
Au4 0.3333 0.6667 0.5000
# Relative energy among the computed polymorphs, meV/atom: 480.3
# Total moment, μB/cell: 0.6
# SG: P6/mmm
# ΔE_f, eV per atom: -0.24
# Electronic total energy, eV/atom: -4.83

[8]
# PBE-GGA Sc2Au, optimized geometry
data_Sc2Au
_cell_length_a 4.6505
_cell_length_b 4.6505
_cell_length_c 3.4101
_cell_angle_alpha 90.00
_cell_angle_beta 90.00
_cell_angle_gamma 120.00
_space_group_name_H-M_alt 'P 1'
_space_group_IT_number 1
loop_
_space_group_symop_operation_xyz
'x,y,z'
loop_
_atom_site_label
_atom_site_fract_x
_atom_site_fract_y
_atom_site_fract_z
Sc1 0.3333 0.6667 0.7229
Sc2 0.6667 0.3333 0.2771
Au1 0.0000 0.0000 0.0000
# Total moment, μB/cell: 0.0
# SG: P-3m1
# ΔE_f, eV per atom: -0.43
# Electronic total energy, eV/atom: -5.74

[9]
# PBE-GGA Sc3Au5, optimized geometry
data_Sc3Au5
_cell_length_a 5.8317
_cell_length_b 5.8317
_cell_length_c 4.7073
_cell_angle_alpha 90.00
_cell_angle_beta 90.00
_cell_angle_gamma 105.86
_space_group_name_H-M_alt 'P 1'
_space_group_IT_number 1
loop_
_space_group_symop_operation_xyz
'x,y,z'
loop_
_atom_site_label
_atom_site_fract_x
_atom_site_fract_y
_atom_site_fract_z
Au1 0.0000 0.5000 0.0000
Au2 0.2888 0.2888 0.5000
Au3 0.0000 0.0000 0.0000
Au4 0.5000 0.0000 0.0000
Au5 0.7112 0.7112 0.5000
Sc1 0.7815 0.2185 0.5000
Sc2 0.5000 0.5000 0.0000
Sc3 0.2185 0.7815 0.5000
# Relative energy among the computed polymorphs, meV/atom: 44.0
# Total moment, μB/cell: 0.0
# SG: Cmmm
# ΔE_f, eV per atom: -0.68
# Electronic total energy, eV/atom: -5.10

[10]
# PBE-GGA Sc3Au4, optimized geometry
data_Sc3Au4
_cell_length_a 4.7065
_cell_length_b 4.7065
_cell_length_c 8.2702
_cell_angle_alpha 73.47
_cell_angle_beta 73.47
_cell_angle_gamma 60.00
_space_group_name_H-M_alt 'P 1'
_space_group_IT_number 1
loop_
_space_group_symop_operation_xyz
'x,y,z'
loop_
_atom_site_label
_atom_site_fract_x
_atom_site_fract_y
_atom_site_fract_z
Au1 0.6324 0.6324 0.1027
Au2 0.1226 0.1226 0.6323
Au3 0.8774 0.8774 0.3677
Au4 0.3676 0.3676 0.8973
Sc1 0.7568 0.7568 0.7297
Sc2 0.2432 0.2432 0.2703
Sc3 0.0000 0.0000 0.0000
# Relative energy among the computed polymorphs, meV/atom: 79.4
# Total moment, μB/cell: 0.0
# SG: R-3m
# ΔE_f, eV per atom: -0.64
# Electronic total energy, eV/atom: -5.23

[11]
# PBE-GGA Sc3Au, optimized geometry
data_Sc3Au
_cell_length_a 5.7172
_cell_length_b 5.7172
_cell_length_c 5.7172
_cell_angle_alpha 116.72
_cell_angle_beta 116.72
_cell_angle_gamma 116.72
_space_group_name_H-M_alt 'P 1'
_space_group_IT_number 1
loop_
_space_group_symop_operation_xyz
'x,y,z'
loop_
_atom_site_label
_atom_site_fract_x
_atom_site_fract_y
_atom_site_fract_z
Sc1 0.5000 0.0000 0.5000
Sc2 0.0000 0.5000 0.5000
Sc3 0.5000 0.5000 0.0000
Au1 0.0000 0.0000 0.0000
# Total moment, μB/cell: 0.0
# SG: R-3m
# ΔE_f, eV per atom: -0.20
# Electronic total energy, eV/atom: -5.77

[12]
# PBE-GGA Sc2Au, optimized geometry
data_Sc2Au
_cell_length_a 4.3494
_cell_length_b 4.3494
_cell_length_c 13.2497
_cell_angle_alpha 99.45
_cell_angle_beta 99.45
_cell_angle_gamma 90.00
_space_group_name_H-M_alt 'P 1'
_space_group_IT_number 1
loop_
_space_group_symop_operation_xyz
'x,y,z'
loop_
_atom_site_label
_atom_site_fract_x
_atom_site_fract_y
_atom_site_fract_z
Sc1 0.7518 0.7518 0.5036
Sc2 0.8387 0.3387 0.6773
Sc3 0.6613 0.1613 0.3227
Sc4 0.4113 0.4113 0.8227
Sc5 0.2482 0.2482 0.4964
Sc6 0.4982 0.9982 0.9964
Sc7 0.5887 0.5887 0.1773
Sc8 0.0018 0.5018 0.0036
Au1 0.1694 0.6694 0.3387
Au2 0.9194 0.9194 0.8387
Au3 0.0806 0.0806 0.1613
Au4 0.3306 0.8306 0.6613
# Total moment, μB/cell: 0.0
# SG: I4_1/amd
# ΔE_f, eV per atom: -0.49
# Electronic total energy, eV/atom: -5.80